CePr2Ho4: relaxed, PBE-GGA.

Cell: 3.600 3.603 20.368 Å, 95.10 90.00 119.97°
Site moments in Bohr magnetons follow the coordinates.
Sites, in units of the cell vectors:
Pr: 0.623 0.246 0.093  0.02
Ho: 0.902 0.805 0.947  0.11
Ho: 0.431 0.862 0.528  -0.05
Ho: 0.001 0.001 0.239  0.01
Ce: 0.805 0.611 0.668  -0.82
Pr: 0.714 0.428 0.383  0.00
Ho: 0.525 0.049 0.809  0.00

Summary:
The value obtained for the relative energy among the computed polymorphs is 0.0000 eV/atom. The formation energy comes out at 0.046 eV per atom.